Below is a geometry-optimized Pr3MnO7 structure, with properties calculated at the PBE with a Hubbard U level.

Computed properties:
The total energy comes out at -339.9 eV for the cell shown. As for the density: 6061 kg/m3.

Geometry as CIF:
```
data_Pr3MnO7
_chemical_formula_sum 'Pr12 Mn4 O28'
_cell_length_a 7.756
_cell_length_b 10.884
_cell_length_c 7.655
_cell_angle_alpha 90.00
_cell_angle_beta 90.00
_cell_angle_gamma 90.00
_space_group_name_H-M_alt 'C 2 2 21'
_space_group_IT_number 20
_space_group_name_Hall 'C 2c 2'
loop_
_atom_site_label
_atom_site_fract_x
_atom_site_fract_y
_atom_site_fract_z
Pr1 0.030 0.000 0.000
Pr2 0.232 0.271 0.757
Mn1 0.005 0.500 0.500
O1 0.000 0.130 0.250
O2 0.000 0.134 0.750
O3 0.000 0.438 0.750
O4 0.180 0.381 0.033
O5 0.193 0.380 0.476
```